This record from Alexandria describes a geometry-optimized AgHg2Br structure. The functional is GGA-PBE.

Cell: 3.674 3.674 8.210 Å, 90.00 90.00 90.00°
Fractional coordinates of all 4 atoms:
Ag (0.000, 0.000, 0.000)
Hg (0.000, 0.000, 0.482)
Hg (0.500, 0.500, 0.738)
Br (0.500, 0.500, 0.155)

Output
- DOS at the Fermi energy: 0.00 states/eV/atom
- Formation energy (no corrections): -49.3 meV/atom
- Spin magnetization: 0.0 μB per formula unit
- Crystal system: tetragonal
- Total energy: -0.09785 Ry/atom



This record from Alexandria describes a geometry-optimized CePm2PN5 structure. The functional is GGA-PBE.

Cell: 7.131 7.131 7.131 Å, 124.11 124.11 83.02°
Fractional coordinates of all 18 atoms:
Ce (0.250, 0.250, 0.000)
Ce (0.750, 0.750, 0.000)
Pm (0.177, 0.677, 0.854)
Pm (0.323, 0.177, 0.500)
Pm (0.677, 0.823, 0.500)
Pm (0.823, 0.323, 0.146)
P (0.250, 0.750, 0.500)
P (0.750, 0.250, 0.500)
N (0.000, 0.000, 0.000)
N (0.018, 0.792, 0.500)
N (0.208, 0.708, 0.226)
N (0.292, 0.518, 0.500)
N (0.482, 0.982, 0.774)
N (0.500, 0.500, 0.000)
N (0.518, 0.018, 0.226)
N (0.708, 0.482, 0.500)
N (0.792, 0.292, 0.774)
N (0.982, 0.208, 0.500)

Output
- Formation energy (no corrections): -1247.5 meV/atom
- Spin magnetization: 0.1 μB per formula unit
- Crystal system: tetragonal
- Total energy: -0.60186 Ry/atom



Question: Which of these has the highest total energy?
Answer: AgHg2Br



Question: Which formula does entry 1 have?
Answer: AgHg2Br



Question: What is the formation energy (no corrections) in the second record?
Answer: -1247.5 meV/atom



Copy entry 2 word for word.
This record from Alexandria describes a geometry-optimized CePm2PN5 structure. The functional is GGA-PBE.

Cell: 7.131 7.131 7.131 Å, 124.11 124.11 83.02°
Fractional coordinates of all 18 atoms:
Ce (0.250, 0.250, 0.000)
Ce (0.750, 0.750, 0.000)
Pm (0.177, 0.677, 0.854)
Pm (0.323, 0.177, 0.500)
Pm (0.677, 0.823, 0.500)
Pm (0.823, 0.323, 0.146)
P (0.250, 0.750, 0.500)
P (0.750, 0.250, 0.500)
N (0.000, 0.000, 0.000)
N (0.018, 0.792, 0.500)
N (0.208, 0.708, 0.226)
N (0.292, 0.518, 0.500)
N (0.482, 0.982, 0.774)
N (0.500, 0.500, 0.000)
N (0.518, 0.018, 0.226)
N (0.708, 0.482, 0.500)
N (0.792, 0.292, 0.774)
N (0.982, 0.208, 0.500)

Output
- Formation energy (no corrections): -1247.5 meV/atom
- Spin magnetization: 0.1 μB per formula unit
- Crystal system: tetragonal
- Total energy: -0.60186 Ry/atom